Record 1
PBE-GGA NaPrHo2S4, relaxed; raw total energy = -5.89 eV per atom; total magnetic moment = 0.0 Bohr magnetons per cell; crystal system = monoclinic; raw formation energy = -1.9184 eV per atom
1.0
6.8943 0.0000 0.0000
0.0000 3.9432 0.0000
-2.2534 0.0000 6.5795
Na Pr Ho S
1 1 2 4
direct
0.0000 0.0000 0.0000
0.5000 0.5000 0.0000
0.0000 0.5000 0.5000
0.5000 0.0000 0.5000
0.2403 0.0000 0.7345
0.2539 0.5000 0.2664
0.7461 0.5000 0.7336
0.7597 0.0000 0.2655

Record 2
PBE-GGA CdP, relaxed; raw total energy = -2.72 eV per atom; total magnetic moment = 0.0 Bohr magnetons per cell; crystal system = cubic; offset from the most stable computed form = 483 meV per atom; formation energy = 0.441 eV/atom
1.0
-4.0501 4.0501 4.0501
4.0501 -4.0501 4.0501
4.0501 4.0501 -4.0501
Cd P
4 4
direct
0.0000 0.0000 0.3296
0.0000 0.3296 0.0000
0.3296 0.0000 0.0000
0.6704 0.6704 0.6704
0.0000 0.0000 0.6815
0.0000 0.6815 0.0000
0.3185 0.3185 0.3185
0.6815 0.0000 0.0000

Record 3
PBE-GGA Li6VCl8, relaxed; raw total energy = -4.03 eV per atom; total magnetic moment = 3.0 Bohr magnetons per cell; crystal system = cubic; raw formation energy = -1.6753 eV per atom
1.0
0.0000 5.1653 5.1653
5.1653 0.0000 5.1653
5.1653 5.1653 0.0000
Li V Cl
6 1 8
direct
0.0000 0.0000 0.5000
0.0000 0.5000 0.0000
0.0000 0.5000 0.5000
0.5000 0.0000 0.0000
0.5000 0.0000 0.5000
0.5000 0.5000 0.0000
0.0000 0.0000 0.0000
0.2406 0.2406 0.7594
0.2406 0.7594 0.2406
0.2406 0.7594 0.7594
0.2500 0.2500 0.2500
0.7500 0.7500 0.7500
0.7594 0.2406 0.2406
0.7594 0.2406 0.7594
0.7594 0.7594 0.2406

Record 4
PBE-GGA Ho2PuFe, relaxed; raw total energy = -8.06 eV per atom; total magnetic moment = 20.2 Bohr magnetons per cell; crystal system = orthorhombic; offset from the most stable computed form = 0 meV per atom; formation energy = -0.069 eV/atom
1.0
6.8477 0.0000 0.0000
0.0000 9.3613 0.0000
0.0000 0.0000 6.1077
Ho Pu Fe
8 4 4
direct
0.1695 0.0668 0.1783
0.1695 0.4332 0.1783
0.3305 0.5668 0.6783
0.3305 0.9332 0.6783
0.6695 0.0668 0.3217
0.6695 0.4332 0.3217
0.8305 0.5668 0.8217
0.8305 0.9332 0.8217
0.0556 0.2500 0.6670
0.4444 0.7500 0.1670
0.5556 0.2500 0.8330
0.9444 0.7500 0.3330
0.1379 0.7500 0.0069
0.3621 0.2500 0.5069
0.6379 0.7500 0.4931
0.8621 0.2500 0.9931

Record 5
PBE-GGA Cs2NpBr2Cl4, relaxed; raw total energy = -4.61 eV per atom; total magnetic moment = 3.0 Bohr magnetons per cell; crystal system = tetragonal; raw formation energy = -1.7878 eV per atom
1.0
-3.9388 3.9388 5.5514
3.9388 -3.9388 5.5514
3.9388 3.9388 -5.5514
Cs Np Br Cl
2 1 2 4
direct
0.2500 0.7500 0.5000
0.7500 0.2500 0.5000
0.0000 0.0000 0.0000
0.2510 0.2510 0.0000
0.7490 0.7490 0.0000
0.2340 0.2340 0.4681
0.2340 0.7660 0.0000
0.7660 0.2340 0.0000
0.7660 0.7660 0.5319

Record 6
PBE-GGA TmPaNiPt, relaxed; raw total energy = -7.06 eV per atom; total magnetic moment = 0.2 Bohr magnetons per cell; crystal system = cubic; formation energy = -0.612 eV/atom
1.0
0.0000 3.4358 3.4358
3.4358 0.0000 3.4358
3.4358 3.4358 0.0000
Tm Pa Ni Pt
1 1 1 1
direct
0.0000 0.0000 0.0000
0.5000 0.5000 0.5000
0.7500 0.7500 0.7500
0.2500 0.2500 0.2500

Record 7
PBE-GGA AcPm4Pr2Tm, relaxed; raw total energy = -4.26 eV per atom; total magnetic moment = 0.0 Bohr magnetons per cell; crystal system = monoclinic; formation energy = 0.380 eV/atom
1.0
6.9877 -6.8121 0.0000
6.9877 6.8121 0.0000
-3.5347 0.0000 6.0865
Ac Pm Pr Tm
2 8 4 2
direct
0.0000 0.5000 0.0000
0.5000 0.0000 0.5000
0.2356 0.2506 0.4866
0.2414 0.7583 0.5135
0.2417 0.7586 0.9865
0.2506 0.2356 0.9866
0.7494 0.7644 0.0134
0.7583 0.2414 0.0135
0.7586 0.2417 0.4865
0.7644 0.7494 0.5134
0.0000 0.5000 0.5000
0.5000 0.0000 0.0000
0.5000 0.5000 0.0000
0.5000 0.5000 0.5000
0.0000 0.0000 0.0000
0.0000 0.0000 0.5000

Record 8
PBE-GGA YMg3Rh8, relaxed; raw total energy = -6.24 eV per atom; total magnetic moment = 0.0 Bohr magnetons per cell; crystal system = trigonal; formation energy = -0.399 eV/atom
1.0
2.6061 1.5046 8.5414
-2.6061 1.5046 8.5414
0.0000 -3.0092 8.5414
Y Mg Rh
1 3 8
direct
0.0000 0.0000 0.0000
0.3811 0.3811 0.3811
0.5014 0.5014 0.5014
0.8716 0.8716 0.8716
0.1875 0.1875 0.1875
0.4368 0.4368 0.9362
0.4368 0.9362 0.4368
0.4398 0.9378 0.9378
0.6879 0.6879 0.6879
0.9362 0.4368 0.4368
0.9378 0.4398 0.9378
0.9378 0.9378 0.4398